SmTlCd: optimized geometry, PBE.

Cell lengths 7.0858, 7.0858, 7.0858 Å; angles 90.00, 90.00, 90.00 degrees
Element x y z (fractional)
1 Sm 0.0000 0.0000 0.0000
2 Sm 0.0000 0.5000 0.5000
3 Sm 0.5000 0.0000 0.5000
4 Sm 0.5000 0.5000 0.0000
5 Tl 0.2500 0.2500 0.2500
6 Tl 0.2500 0.7500 0.7500
7 Tl 0.7500 0.2500 0.7500
8 Tl 0.7500 0.7500 0.2500
9 Cd 0.0000 0.0000 0.5000
10 Cd 0.0000 0.5000 0.0000
11 Cd 0.5000 0.0000 0.0000
12 Cd 0.5000 0.5000 0.5000

## Properties
Total moment: 0.00 μB/f.u.
ρ: 8722 kg/m3
Energy relative to the elements: -0.22 eV/atom
Space-group type: F-43m